No. 1
Below is NdMgRh at its PBEsol-relaxed geometry, with properties calculated at the SCAN level.

Unit cell a=7.127 b=4.143 c=8.595 alpha=90.00 beta=90.00 gamma=90.00
Space group Pnma (No. 62)
Symmetry-distinct sites (fractional):
Nd: 0.038 0.250 0.179
Mg: 0.135 0.250 0.558
Rh: 0.249 0.750 0.373

Output
N(E_F), states/eV/atom: 0.497
Magnetization, μB/cell: 0.0
Energy of formation, eV per atom: -0.69

---

No. 2
Below is Nd2MgSe4 at its PBEsol-relaxed geometry, with properties calculated at the SCAN level.

Unit cell a=8.569 b=8.569 c=9.019 alpha=90.00 beta=90.00 gamma=90.00
Space group I-42d (No. 122)
Symmetry-distinct sites (fractional):
Nd: 0.124 0.750 0.125
Mg: 0.000 0.000 0.500
Se: 0.071 0.692 0.448

Output
Raw formation energy, eV per atom: -1.87
N(E_F), states/eV/atom: 0.000
Magnetization, μB/cell: 0.0
Distance to the lowest polymorph of the same formula, eV per atom: 0.044

---

No. 3
Below is Nd2MgSe4 at its PBEsol-relaxed geometry, with properties calculated at the SCAN level.

Unit cell a=14.266 b=8.446 c=6.905 alpha=90.00 beta=90.00 gamma=90.00
Space group Pnma (No. 62)
Symmetry-distinct sites (fractional):
Nd: 0.000 0.000 0.000
Nd: 0.231 0.250 0.486
Mg: 0.096 0.750 0.410
Se: 0.070 0.250 0.745
Se: 0.089 0.750 0.776
Se: 0.173 0.513 0.234

Output
Raw formation energy, eV per atom: -1.91
N(E_F), states/eV/atom: 0.000
Magnetization, μB/cell: 0.0
Distance to the lowest polymorph of the same formula, eV per atom: 0.000

---

No. 4
Below is Nd2MgSe4 at its PBEsol-relaxed geometry, with properties calculated at the SCAN level.

Unit cell a=11.835 b=11.835 c=11.835 alpha=90.00 beta=90.00 gamma=90.00
Space group Fd-3m (No. 227, origin choice 2)
Symmetry-distinct sites (fractional):
Nd: 0.000 0.000 0.000
Mg: 0.125 0.125 0.625
Se: 0.003 0.003 0.247

Output
Raw formation energy, eV per atom: -1.90
N(E_F), states/eV/atom: 0.000
Magnetization, μB/cell: 0.0
Distance to the lowest polymorph of the same formula, eV per atom: 0.011

---

No. 5
Below is Nd2MgSi2 at its PBEsol-relaxed geometry, with properties calculated at the SCAN level.

Unit cell a=7.327 b=7.327 c=4.294 alpha=90.00 beta=90.00 gamma=90.00
Space group P4/mbm (No. 127)
Symmetry-distinct sites (fractional):
Nd: 0.180 0.320 0.000
Mg: 0.000 0.000 0.500
Si: 0.115 0.615 0.500

Output
Raw formation energy, eV per atom: -0.72
N(E_F), states/eV/atom: 0.367
Magnetization, μB/cell: 0.0

---

No. 6
Below is NdMgSn at its PBEsol-relaxed geometry, with properties calculated at the SCAN level.

Unit cell a=4.453 b=4.453 c=16.018 alpha=90.00 beta=90.00 gamma=90.00
Space group I4/mmm (No. 139)
Symmetry-distinct sites (fractional):
Nd: 0.000 0.000 0.165
Mg: 0.000 0.500 0.000
Sn: 0.000 0.000 0.366

Output
N(E_F), states/eV/atom: 0.414
Magnetization, μB/cell: 0.0
Energy of formation, eV per atom: -0.71

---

No. 7
Below is NdMgTl at its PBEsol-relaxed geometry, with properties calculated at the SCAN level.

Unit cell a=7.6309 b=7.6309 c=4.6995 alpha=90.00 beta=90.00 gamma=120.00
Space group P-62m (No. 189)
Symmetry-distinct sites (fractional):
Nd: 0.0000 0.4271 0.0000
Mg: 0.0000 0.7570 0.5000
Tl: 0.0000 0.0000 0.0000
Tl: 0.3333 0.6667 0.5000

Output
N(E_F), states/eV/atom: 0.086
Magnetization, μB/cell: 0.0
Energy of formation, eV per atom: -0.59

---

No. 8
Below is NdYMg2 at its PBEsol-relaxed geometry, with properties calculated at the SCAN level.

Unit cell a=7.585 b=7.585 c=7.585 alpha=90.00 beta=90.00 gamma=90.00
Space group Fm-3m (No. 225)
Symmetry-distinct sites (fractional):
Nd: 0.000 0.000 0.000
Y: 0.000 0.000 0.500
Mg: 0.250 0.250 0.250

Output
N(E_F), states/eV/atom: 1.034
Magnetization, μB/cell: 0.0
Energy of formation, eV per atom: -0.12

---

No. 9
Below is NdMgZn2 at its PBEsol-relaxed geometry, with properties calculated at the SCAN level.

Unit cell a=6.874 b=6.874 c=6.874 alpha=90.00 beta=90.00 gamma=90.00
Space group Fm-3m (No. 225)
Symmetry-distinct sites (fractional):
Nd: 0.000 0.000 0.000
Mg: 0.000 0.000 0.500
Zn: 0.250 0.250 0.250

Output
N(E_F), states/eV/atom: 0.366
Magnetization, μB/cell: 0.0
Energy of formation, eV per atom: -0.40

---

No. 10
Below is Mg3Ni2 at its PBEsol-relaxed geometry, with properties calculated at the SCAN level.

Unit cell a=11.626 b=19.123 c=2.803 alpha=90.00 beta=90.00 gamma=90.00
Space group Fdd2 (No. 43)
Symmetry-distinct sites (fractional):
Mg: 0.000 0.000 0.000
Mg: 0.081 0.143 0.758
Ni: 0.066 0.282 0.711

Output
N(E_F), states/eV/atom: 0.526
Magnetization, μB/cell: 0.0
Energy of formation, eV per atom: -0.07

---

No. 11
Below is Mg2Ni at its PBEsol-relaxed geometry, with properties calculated at the SCAN level.

Unit cell a=5.1330 b=5.1330 c=13.0241 alpha=90.00 beta=90.00 gamma=120.00
Space group P6_222 (No. 180)
Symmetry-distinct sites (fractional):
Mg: 0.0000 0.5000 0.0509
Mg: 0.1646 0.3292 0.5000
Ni: 0.0000 0.0000 0.0000
Ni: 0.0000 0.5000 0.6667

Output
N(E_F), states/eV/atom: 0.435
Magnetization, μB/cell: 0.0
Energy of formation, eV per atom: -0.19

---

No. 12
Below is MgNi3 at its PBEsol-relaxed geometry, with properties calculated at the SCAN level.

Unit cell a=8.375 b=2.586 c=4.362 alpha=90.00 beta=101.28 gamma=90.00
Space group C2/m (No. 12)
Symmetry-distinct sites (fractional):
Mg: 0.000 0.000 0.000
Ni: 0.000 0.500 0.500
Ni: 0.243 0.000 0.732

Output
N(E_F), states/eV/atom: 0.930
Magnetization, μB/cell: 2.8
Energy of formation, eV per atom: 0.01